Here is a relaxed structure of K2Ca2Pb from Alexandria. Energies are from PBE-GGA.

As for the energy: -2.034 eV/atom. The calculated density is 2.5 g/cm³. Its formation energy is -0.05 eV/atom. The density of states at the Fermi level comes out at 0.81 states/eV/f.u. Its crystal system is tetragonal.

It has space group P4/mbm (No. 127), with a = 8.4017 Å, b = 8.4017 Å, c = 6.8484 Å, α = 90.00°, β = 90.00° and γ = 90.00°. The asymmetric unit holds K at (0.1800, 0.3200, 0.0000), Ca at (0.1618, 0.6618, 0.5000) and Pb at (0.0000, 0.0000, 0.5000).